Record 1
# Ce2NiOs, optimized geometry, DFT GGA-PBE
# ΔE_f   -17 kJ/mol of atoms
data_Ce2NiOs
_chemical_formula_sum 'Ce2 Ni1 Os1'
_symmetry_space_group_name_H-M 'P 4/m m m'
_symmetry_Int_Tables_number 123
_symmetry_space_group_name_Hall '-P 4 2'
_cell_length_a 4.954
_cell_length_b 4.954
_cell_length_c 3.324
_cell_angle_alpha 90.00
_cell_angle_beta 90.00
_cell_angle_gamma 90.00
loop_
_atom_site_label
_atom_site_type_symbol
_atom_site_fract_x
_atom_site_fract_y
_atom_site_fract_z
_atom_site_occupancy
Ce1 Ce 0.000 0.500 0.000 1
Ni1 Ni 0.000 0.000 0.500 1
Os1 Os 0.500 0.500 0.500 1

***

Record 2
# TiFeSi2, optimized geometry, DFT GGA-PBE
# Uncorrected formation energy   -0.683 eV per atom
data_TiFeSi2
_chemical_formula_sum 'Ti12 Fe12 Si24'
_symmetry_space_group_name_H-M 'P b a m'
_symmetry_Int_Tables_number 55
_cell_length_a 8.569
_cell_length_b 9.520
_cell_length_c 7.580
_cell_angle_alpha 90.00
_cell_angle_beta 90.00
_cell_angle_gamma 90.00
loop_
_symmetry_equiv_pos_as_xyz
'x,y,z'
'-x,-y,-z'
'-x,-y,z'
'x,y,-z'
'x+1/2,-y+1/2,-z'
'-x+1/2,y+1/2,z'
'-x+1/2,y+1/2,-z'
'x+1/2,-y+1/2,z'
loop_
_atom_site_label
_atom_site_type_symbol
_atom_site_fract_x
_atom_site_fract_y
_atom_site_fract_z
_atom_site_occupancy
Ti1 Ti 0.168 0.180 0.000 1
Ti2 Ti 0.174 0.451 0.239 1
Fe1 Fe 0.000 0.000 0.244 1
Fe2 Fe 0.089 0.742 0.249 1
Si1 Si 0.038 0.620 0.000 1
Si2 Si 0.040 0.622 0.500 1
Si3 Si 0.121 0.901 0.500 1
Si4 Si 0.126 0.896 0.000 1
Si5 Si 0.162 0.181 0.345 1

***

Record 3
# Ga2OsRu2, optimized geometry, DFT GGA-PBE
# ΔE_f   25 kJ/mol of atoms
data_Ga2OsRu2
_chemical_formula_sum 'Ga4 Os2 Ru4'
_symmetry_space_group_name_H-M 'P 4/m b m'
_symmetry_Int_Tables_number 127
_symmetry_space_group_name_Hall '-P 4 2ab'
_cell_length_a 7.044
_cell_length_b 7.044
_cell_length_c 2.966
_cell_angle_alpha 90.00
_cell_angle_beta 90.00
_cell_angle_gamma 90.00
loop_
_atom_site_label
_atom_site_type_symbol
_atom_site_fract_x
_atom_site_fract_y
_atom_site_fract_z
_atom_site_occupancy
Ga1 Ga 0.167 0.333 0.000 1
Os1 Os 0.000 0.000 0.500 1
Ru1 Ru 0.132 0.632 0.500 1

***

Record 4
# RbAcGeSe3, optimized geometry, DFT GGA-PBE
# Uncorrected formation energy   -1.249 eV per atom
data_RbAcGeSe3
_chemical_formula_sum 'Rb2 Ac2 Ge2 Se6'
_symmetry_space_group_name_H-M 'P 1 21/m 1'
_symmetry_Int_Tables_number 11
_cell_length_a 9.035
_cell_length_b 4.302
_cell_length_c 11.737
_cell_angle_alpha 90.00
_cell_angle_beta 105.72
_cell_angle_gamma 90.00
loop_
_symmetry_equiv_pos_as_xyz
'x,y,z'
'-x,-y,-z'
'-x,y+1/2,-z'
'x,-y+1/2,z'
loop_
_atom_site_label
_atom_site_type_symbol
_atom_site_fract_x
_atom_site_fract_y
_atom_site_fract_z
_atom_site_occupancy
Rb1 Rb 0.238 0.250 0.202 1
Ac1 Ac 0.161 0.750 0.654 1
Ge1 Ge 0.379 0.250 0.937 1
Se1 Se 0.090 0.750 0.381 1
Se2 Se 0.190 0.750 0.925 1
Se3 Se 0.422 0.250 0.737 1

***

Record 5
# AuI2NF, optimized geometry, DFT GGA-PBE
# Uncorrected formation energy   0.835 eV per atom
data_AuI2NF
_chemical_formula_sum 'Au1 I2 N1 F1'
_symmetry_space_group_name_H-M 'P 4/m m m'
_symmetry_Int_Tables_number 123
_symmetry_space_group_name_Hall '-P 4 2'
_cell_length_a 5.898
_cell_length_b 5.898
_cell_length_c 3.749
_cell_angle_alpha 90.00
_cell_angle_beta 90.00
_cell_angle_gamma 90.00
loop_
_atom_site_label
_atom_site_type_symbol
_atom_site_fract_x
_atom_site_fract_y
_atom_site_fract_z
_atom_site_occupancy
Au1 Au 0.000 0.000 0.000 1
I1 I 0.000 0.500 0.000 1
N1 N 0.000 0.000 0.500 1
F1 F 0.500 0.500 0.500 1

***

Record 6
# ScB3C, optimized geometry, DFT GGA-PBE
# ΔE_f   125 kJ/mol of atoms
data_ScB3C
_chemical_formula_sum 'Sc1 B3 C1'
_symmetry_space_group_name_H-M 'P m -3 m'
_symmetry_Int_Tables_number 221
_symmetry_space_group_name_Hall '-P 4 2 3'
_cell_length_a 3.582
_cell_length_b 3.582
_cell_length_c 3.582
_cell_angle_alpha 90.00
_cell_angle_beta 90.00
_cell_angle_gamma 90.00
loop_
_atom_site_label
_atom_site_type_symbol
_atom_site_fract_x
_atom_site_fract_y
_atom_site_fract_z
_atom_site_occupancy
Sc1 Sc 0.000 0.000 0.000 1
B1 B 0.000 0.500 0.500 1
C1 C 0.500 0.500 0.500 1

***

| no. | calculated volume (A^3/atom) |
| --- | --- |
| 1 | 20.395 |
| 2 | 12.882 |
| 3 | 14.715 |
| 4 | 36.592 |
| 5 | 26.081 |
| 6 | 9.195 |